[1]
TiFeSi after structural relaxation. Source: Alexandria via LeMat-Bulk, functional PBE.

Values from the calculation:
Raw formation energy ... -0.74 eV/atom
V ... 12.939 A^3/atom
DOS(E_F) ... 7.369 states/eV per cell

Cell lengths 7.116, 7.116, 7.116 Å; angles 127.87, 121.67, 82.02 degrees
Site moments in Bohr magnetons follow the coordinates.
Fractional coordinates of all 18 atoms:
Fe  0.343  0.256  0.845  -0.20
Ti  0.524  0.509  0.485  -0.02
Fe  0.911  0.256  0.413  -0.20
Si  0.841  0.837  0.013  0.00
Si  0.720  0.463  0.243  0.00
Fe  0.089  0.502  0.345  -0.20
Ti  0.946  0.897  0.451  -0.02
Fe  0.500  0.749  0.249  0.95
Ti  0.747  0.081  0.834  -0.03
Fe  0.657  0.502  0.913  -0.20
Ti  0.253  0.087  0.334  -0.03
Fe  0.000  0.749  0.749  0.95
Ti  0.054  0.505  0.951  -0.02
Si  0.676  0.172  0.513  0.00
Si  0.280  0.523  0.743  0.00
Ti  0.476  0.961  0.985  -0.02
Si  0.159  0.172  0.997  0.00
Si  0.324  0.837  0.497  0.00

[2]
AcW2N4 after structural relaxation. Source: Alexandria via LeMat-Bulk, functional PBE.

Values from the calculation:
Raw formation energy ... -0.36 eV/atom
V ... 19.396 A^3/atom
DOS(E_F) ... 5.583 states/eV per cell

Cell lengths 5.668, 5.668, 5.668 Å; angles 103.98, 103.98, 121.13 degrees
Fractional coordinates of all 7 atoms:
N  0.847  0.378  0.225
N  0.622  0.847  0.469
N  0.153  0.622  0.775
W  0.750  0.250  0.500
Ac  0.500  0.500  0.000
W  0.250  0.750  0.500
N  0.378  0.153  0.531

[3]
Nd4CuGe8 after structural relaxation. Source: Alexandria via LeMat-Bulk, functional PBE.

Values from the calculation:
V ... 22.354 A^3/atom
DOS(E_F) ... 5.345 states/eV per cell
DFT formation energy ... -756 kJ/mol of formula units

Cell lengths 4.046, 4.173, 17.213 Å; angles 90.00, 90.00, 90.00 degrees
Fractional coordinates of all 13 atoms:
Ge  0.000  0.500  0.240
Ge  0.500  0.000  0.552
Nd  0.000  0.000  0.102
Nd  0.500  0.000  0.892
Nd  0.500  0.500  0.397
Nd  0.000  0.500  0.608
Ge  0.000  0.500  0.948
Cu  0.000  0.000  0.321
Ge  0.500  0.000  0.241
Ge  0.000  0.000  0.462
Ge  0.500  0.500  0.041
Ge  0.000  0.000  0.746
Ge  0.500  0.500  0.753